Below is a geometry-optimized GdCr3B4O12 structure, with properties calculated at the GGA+U level.

```
20
Lattice="3.765 -4.802 0.012 3.765 4.802 0.012 -2.379 0.000 5.620" Properties=species:S:1:pos:R:3 pbc="T T T"
B 0.353 2.135 3.127
B 3.765 0.532 0.012
B 0.000 0.000 0.000
B 1.034 -2.667 2.505
O 0.326 0.766 2.989
O 2.370 1.154 4.897
O 1.243 2.831 2.314
O 3.350 -1.920 4.002
O -1.492 -0.693 4.811
O 3.765 -0.860 0.012
O 2.782 1.154 0.748
O 3.765 -3.417 0.012
O 1.802 -1.920 1.642
O 4.826 0.766 2.655
O 0.143 -1.971 3.318
O 2.879 4.110 0.821
Cr 2.576 4.284 2.822
Cr -0.165 -2.142 5.324
Cr 5.316 -2.142 0.321
Gd 2.576 0.000 2.822
```

## Properties
Its magnetization is 2.0 μB/cell. Its total energy is -171.26 eV per cell. As for the space group: R32.